a) VNiSCl2 | PBE | relaxed

abc: 4.446 4.446 4.816
angles: 90.00 90.00 90.00
Space group P4/mmm (No. 123)
Symmetry-distinct sites (fractional):
V: 0.000 0.000 0.000 [1 per cell]
Ni: 0.500 0.500 0.500 [1 per cell]
S: 0.500 0.500 0.000 [1 per cell]
Cl: 0.000 0.500 0.500 [2 per cell]

Summary:
The calculation puts the calculated density at 3.71 g cm⁻³. Its magnetic moment is 2.97 μB per formula unit.

b) VNiSCl2 | PBE | relaxed

abc: 4.657 4.657 4.591
angles: 90.00 90.00 90.00
Space group P4/mmm (No. 123)
Symmetry-distinct sites (fractional):
V: 0.000 0.000 0.000 [1 per cell]
Ni: 0.500 0.500 0.500 [1 per cell]
S: 0.000 0.000 0.500 [1 per cell]
Cl: 0.000 0.500 0.000 [2 per cell]

Summary:
The calculation puts the calculated density at 3.55 g cm⁻³. Its magnetic moment is 0.05 μB per formula unit.

Energies in meV/atom, measured from the most stable structure: a) 0; b) 28.

a) NiSbCl2 | PBE | relaxed

abc: 3.062 3.062 10.165
angles: 90.00 90.00 90.00
Space group P4/mmm (No. 123)
Symmetry-distinct sites (fractional):
Ni: 0.000 0.000 0.000 [1 per cell]
Sb: 0.000 0.000 0.500 [1 per cell]
Cl: 0.500 0.500 0.146 [2 per cell]

Summary:
The calculation puts the calculated density at 4.38 g cm⁻³. Its magnetic moment is 1.82 μB per formula unit.

b) NiSbCl2 | PBE | relaxed

abc: 4.946 4.946 3.279
angles: 90.00 90.00 90.00
Space group P4/mmm (No. 123)
Symmetry-distinct sites (fractional):
Ni: 0.000 0.000 0.000 [1 per cell]
Sb: 0.500 0.500 0.000 [1 per cell]
Cl: 0.000 0.500 0.500 [2 per cell]

Summary:
The calculation puts the calculated density at 5.20 g cm⁻³. Its magnetic moment is 0.47 μB per formula unit.

c) NiSbCl2 | PBE | relaxed

abc: 5.364 3.229 6.250
angles: 90.00 107.56 90.00
Space group P2/m (No. 10)
Symmetry-distinct sites (fractional):
Ni: 0.000 0.000 0.000 [1 per cell]
Sb: 0.500 0.000 0.000 [1 per cell]
Cl: 0.165 0.500 0.268 [2 per cell]

Summary:
The calculation puts the calculated density at 4.04 g cm⁻³. Its magnetic moment is 0.99 μB per formula unit.

Energies in meV/atom, measured from the most stable structure: a) 325; b) 619; c) 0.

a) NiSbCl2 | PBE | relaxed

abc: 3.3732 3.3732 33.4075
angles: 90.00 90.00 120.00
Space group R-3m (No. 166, hexagonal axes)
Symmetry-distinct sites (fractional):
Ni: 0.0000 0.0000 0.0000 [3 per cell]
Sb: 0.0000 0.0000 0.5000 [3 per cell]
Cl: 0.0000 0.0000 0.2926 [6 per cell]

Summary:
The calculation puts the calculated density at 3.80 g cm⁻³. Its magnetic moment is 1.77 μB per formula unit.

b) NiSbCl2 | PBE | relaxed

abc: 5.921 6.565 8.506
angles: 90.00 90.00 90.00
Space group Fmmm (No. 69)
Symmetry-distinct sites (fractional):
Ni: 0.000 0.000 0.000 [4 per cell]
Sb: 0.000 0.000 0.500 [4 per cell]
Cl: 0.000 0.250 0.250 [8 per cell]

Summary:
The calculation puts the calculated density at 5.05 g cm⁻³. Its magnetic moment is 0.27 μB per formula unit.

c) NiSbCl2 | PBE | relaxed

abc: 6.444 6.444 9.408
angles: 90.00 90.00 90.00
Space group I-42d (No. 122)
Symmetry-distinct sites (fractional):
Ni: 0.000 0.000 0.000 [4 per cell]
Sb: 0.000 0.000 0.500 [4 per cell]
Cl: 0.153 0.250 0.125 [8 per cell]

Summary:
The calculation puts the calculated density at 4.27 g cm⁻³. Its magnetic moment is 0.82 μB per formula unit.

Energies in meV/atom, measured from the most stable structure: a) 0; b) 294; c) 332.

a) NiSbCl2 | PBE | relaxed

abc: 4.266 3.427 6.988
angles: 90.00 101.18 90.00
Space group Pm (No. 6)
Symmetry-distinct sites (fractional):
Ni: 0.000 0.000 0.000 [1 per cell]
Sb: 0.536 0.500 0.917 [1 per cell]
Cl: 0.243 0.500 0.223 [1 per cell]
Cl: 0.867 0.000 0.672 [1 per cell]

Summary:
The calculation puts the calculated density at 4.17 g cm⁻³. Its magnetic moment is 0.00 μB per formula unit.

b) NiSbCl2 | PBE | relaxed

abc: 3.6396 3.6396 24.1573
angles: 90.00 90.00 120.00
Space group R3m (No. 160, hexagonal axes)
Symmetry-distinct sites (fractional):
Ni: 0.0000 0.0000 0.0000 [3 per cell]
Sb: 0.0000 0.0000 0.2749 [3 per cell]
Cl: 0.0000 0.0000 0.5260 [3 per cell]
Cl: 0.0000 0.0000 0.7163 [3 per cell]

Summary:
The calculation puts the calculated density at 4.52 g cm⁻³. Its magnetic moment is 0.00 μB per formula unit.

c) NiSbCl2 | PBE | relaxed

abc: 12.276 3.263 5.359
angles: 90.00 105.84 90.00
Space group C2/m (No. 12)
Symmetry-distinct sites (fractional):
Ni: 0.000 0.000 0.000 [2 per cell]
Sb: 0.000 0.500 0.500 [2 per cell]
Cl: 0.136 0.500 0.177 [4 per cell]

Summary:
The calculation puts the calculated density at 4.04 g cm⁻³. Its magnetic moment is 1.27 μB per formula unit.

Energies in meV/atom, measured from the most stable structure: a) 136; b) 0; c) 208.

a) NiSbCl2 | PBE | relaxed

abc: 3.457 4.965 5.343
angles: 104.70 90.28 91.94
Space group P1 (No. 1)
Symmetry-distinct sites (fractional):
Ni: 0.000 0.000 0.000 [1 per cell]
Sb: 0.486 0.776 0.668 [1 per cell]
Cl: 0.009 0.453 0.956 [1 per cell]
Cl: 0.510 0.092 0.330 [1 per cell]

Summary:
The calculation puts the calculated density at 4.71 g cm⁻³. Its magnetic moment is 0.00 μB per formula unit.

b) NiSbCl2 | PBE | relaxed

abc: 3.753 6.021 8.510
angles: 90.00 90.00 90.00
Space group Cmm2 (No. 35)
Symmetry-distinct sites (fractional):
Ni: 0.000 0.000 0.000 [2 per cell]
Sb: 0.000 0.500 0.811 [2 per cell]
Cl: 0.000 0.000 0.564 [2 per cell]
Cl: 0.000 0.500 0.154 [2 per cell]

Summary:
The calculation puts the calculated density at 4.34 g cm⁻³. Its magnetic moment is 0.01 μB per formula unit.

Energies in meV/atom, measured from the most stable structure: a) 0; b) 172.

a) NiSbCl2 | PBE | relaxed

abc: 3.260 5.096 12.108
angles: 90.00 90.00 90.00
Space group Immm (No. 71)
Symmetry-distinct sites (fractional):
Ni: 0.000 0.000 0.000 [2 per cell]
Sb: 0.000 0.000 0.500 [2 per cell]
Cl: 0.000 0.500 0.362 [4 per cell]

Summary:
The calculation puts the calculated density at 4.15 g cm⁻³. Its magnetic moment is 0.93 μB per formula unit.

b) NiSbCl2 | PBE | relaxed

abc: 6.254 8.033 3.214
angles: 90.00 90.00 90.00
Space group Cmmm (No. 65)
Symmetry-distinct sites (fractional):
Ni: 0.000 0.000 0.000 [2 per cell]
Sb: 0.000 0.500 0.000 [2 per cell]
Cl: 0.250 0.250 0.500 [4 per cell]

Summary:
The calculation puts the calculated density at 5.17 g cm⁻³. Its magnetic moment is 0.50 μB per formula unit.

Energies in meV/atom, measured from the most stable structure: a) 0; b) 553.